VASP calculation (PBE) on a geometry-optimized Mg2CuPt2 structure.

```
Mg2CuPt2
1.0
-0.443 -3.768 6.513
6.789 -3.013 -1.281
1.248 2.228 1.374
Cu Mg Pt
2 4 4
Direct
0.000 0.000 0.000 Cu
0.500 0.500 0.000 Cu
0.859 0.641 0.000 Mg
0.641 0.141 0.000 Mg
0.359 0.859 0.000 Mg
0.141 0.359 0.000 Mg
0.657 0.843 0.500 Pt
0.843 0.343 0.500 Pt
0.157 0.657 0.500 Pt
0.343 0.157 0.500 Pt
```

Energy above the most stable polymorph in this dataset, eV per atom: 0.073
Total magnetization, μB per formula unit: 0.00
SG: P4/mbm (127)
Energy relative to the elements, eV/atom: -0.41
Total DFT energy (no corrections), eV per atom: -4.282